ScGa2AgPt | PBE-GGA | relaxed

Cell lengths 4.679, 5.111, 4.679 Å; angles 90.00, 90.00, 90.00 degrees
Sites, in units of the cell vectors:
1 Sc 0.500 0.500 0.500
2 Ga 0.000 0.000 0.500
3 Ga 0.500 0.000 0.000
4 Ag 0.000 0.000 0.000
5 Pt 0.000 0.500 0.000

Results
Symmetry   P4/mmm, No. 123
Total moment   0.00 μB/f.u.
Energy relative to the elements   0.32 eV per atom
Crystal system   tetragonal